Entry 1:
A plane-wave DFT calculation with GGA-PBE was carried out for a geometry-optimized V2As2Os structure.

Properties
crystal system: tetragonal
symmetry: P4/mbm, No. 127
volume: 145.2 Å³/cell
E_tot: -7.769 eV/atom

Lattice parameters (Å, degrees): 6.767 6.767 3.171 90.00 90.00 90.00
Atoms (fractional coordinates):
As1 0.342 0.842 0.000
As2 0.842 0.658 0.000
As3 0.658 0.158 0.000
As4 0.158 0.342 0.000
Os1 0.000 0.000 0.000
Os2 0.500 0.500 0.000
V1 0.137 0.637 0.500
V2 0.637 0.863 0.500
V3 0.863 0.363 0.500
V4 0.363 0.137 0.500

Entry 2:
A plane-wave DFT calculation with GGA-PBE was carried out for a geometry-optimized KBeSe structure.

Properties
ΔE_f (raw): 259 meV per atom
crystal system: cubic
symmetry: F-43m, No. 216
volume: 87.0 Å³/cell

Lattice parameters (Å, degrees): 4.973 4.973 4.973 60.00 60.00 60.00
Atoms (fractional coordinates):
Be1 0.000 0.000 0.000
K1 0.500 0.500 0.500
Se1 0.750 0.750 0.750

Entry 3:
A plane-wave DFT calculation with GGA-PBE was carried out for a geometry-optimized La2Pr2SmDy2 structure.

Properties
crystal system: monoclinic
symmetry: C2/m, No. 12
volume: 243.8 Å³/cell
E_tot: -4.740 eV/atom

Lattice parameters (Å, degrees): 5.180 6.333 8.225 97.37 90.00 114.14
Atoms (fractional coordinates):
La1 0.142 0.284 0.427
La2 0.858 0.716 0.573
Pr1 0.715 0.429 0.142
Pr2 0.285 0.571 0.858
Sm1 0.000 0.000 0.000
Dy1 0.571 0.142 0.715
Dy2 0.429 0.858 0.285

Entry 4:
A plane-wave DFT calculation with GGA-PBE was carried out for a geometry-optimized SrTaFe2 structure.

Properties
crystal system: tetragonal
symmetry: P4/mmm, No. 123
volume: 78.1 Å³/cell
E_tot: -7.288 eV/atom

Lattice parameters (Å, degrees): 3.306 3.307 7.870 65.17 90.00 90.00
Site moments in Bohr magnetons follow the coordinates.
Atoms (fractional coordinates):
Fe1 0.000 0.084 0.916  1.96
Fe2 0.000 0.416 0.584  1.96
Sr1 0.500 0.250 0.250  -0.04
Ta1 0.500 0.750 0.750  -0.38

Entry 5:
A plane-wave DFT calculation with GGA-PBE was carried out for a geometry-optimized Ba2PaH3S3 structure.

Properties
crystal system: hexagonal
symmetry: P-62m, No. 189
volume: 192.6 Å³/cell
E_tot: -5.194 eV/atom

Lattice parameters (Å, degrees): 3.997 7.460 7.460 120.00 90.00 90.00
Atoms (fractional coordinates):
Ba1 0.500 0.333 0.667
Ba2 0.500 0.667 0.333
Pa1 0.000 0.000 0.000
H1 0.500 0.841 0.000
H2 0.500 0.159 0.159
H3 0.500 0.000 0.841
S1 0.000 0.000 0.355
S2 0.000 0.645 0.645
S3 0.000 0.355 0.000

Entry 6:
A plane-wave DFT calculation with GGA-PBE was carried out for a geometry-optimized La4Sm5Y2 structure.

Properties
crystal system: monoclinic
symmetry: C2/m, No. 12
volume: 383.1 Å³/cell
E_tot: -5.037 eV/atom

Lattice parameters (Å, degrees): 3.597 11.873 9.174 94.15 101.31 90.00
Atoms (fractional coordinates):
La1 0.360 0.204 0.719
La2 0.961 0.738 0.923
La3 0.640 0.796 0.281
La4 0.039 0.262 0.077
Sm1 0.904 0.461 0.807
Sm2 0.096 0.539 0.193
Sm3 0.821 0.927 0.642
Sm4 0.500 0.000 0.000
Sm5 0.179 0.073 0.358
Y1 0.716 0.360 0.432
Y2 0.284 0.640 0.568